PBE with a Hubbard U VGa2NO, optimized geometry; space group = P4/mmm (123); N(E_F) = 0.634 states/eV/atom; VASP energy = -4.75 eV per atom
1.0
4.331 0.000 0.000
0.000 4.331 0.000
0.000 0.000 3.865
V Ga N O
1 2 1 1
Direct
0.000 0.000 0.000
0.000 0.500 0.500
0.500 0.000 0.500
0.000 0.000 0.500
0.500 0.500 0.000